{"formula": "Tl2CuNi3F12", "functional": "PBE with a Hubbard U", "state": "relaxed", "lattice": [[3.5905, 2.0730, 5.9843], [-3.5905, 2.0730, 5.9843], [0.0000, -4.1459, 5.9843]], "species": ["Tl", "Tl", "Cu", "Ni", "Ni", "Ni", "F", "F", "F", "F", "F", "F", "F", "F", "F", "F", "F", "F"], "frac_coords": [[0.1195, 0.1195, 0.1195], [0.8805, 0.8805, 0.8805], [0.5000, 0.5000, 0.5000], [0.0000, 0.5000, 0.5000], [0.5000, 0.0000, 0.5000], [0.5000, 0.5000, 0.0000], [0.1754, 0.1754, 0.5729], [0.1754, 0.5729, 0.1754], [0.1831, 0.5726, 0.5726], [0.4274, 0.4274, 0.8169], [0.4274, 0.8169, 0.4274], [0.4271, 0.8246, 0.8246], [0.5729, 0.1754, 0.1754], [0.5726, 0.1831, 0.5726], [0.5726, 0.5726, 0.1831], [0.8169, 0.4274, 0.4274], [0.8246, 0.4271, 0.8246], [0.8246, 0.8246, 0.4271]], "dos_at_fermi_per_ev_fu": 3.86, "dft_energy_ha_per_atom": -0.1471, "vol_a3_per_atom": 14.847, "space_group": "R-3m, No. 166", "total_magnetization_mub_per_cell": 7.002}